Entry 1:
The following is a PBE-GGA calculation of a relaxed AcY3Tm2 crystal, from the Alexandria database.

## Properties
Calculated formation energy in eV/atom: 0.1036
Energy above the most stable polymorph in this dataset in eV per formula unit: 0.000

abc: 9.130 9.944 9.040
angles: 90.00 102.35 90.00
Space group C2/c (No. 15)
One atom of each set of equivalent atoms:
1 Ac 0.000 0.070 0.250 (multiplicity 4)
2 Y 0.000 0.410 0.250 (multiplicity 4)
3 Y 0.231 0.411 0.989 (multiplicity 8)
4 Tm 0.126 0.256 0.625 (multiplicity 8)


Entry 2:
The following is a PBE-GGA calculation of a relaxed NdSb3Rh5 crystal, from the Alexandria database.

## Properties
Energy in eV per atom: -6.514

abc: 4.033 13.754 13.240
angles: 90.00 90.00 90.00
Space group Cmcm (No. 63)
One atom of each set of equivalent atoms:
1 Nd 0.000 0.106 0.250 (multiplicity 4)
2 Sb 0.000 0.128 0.750 (multiplicity 4)
3 Sb 0.000 0.379 0.539 (multiplicity 8)
4 Rh 0.000 0.000 0.000 (multiplicity 4)
5 Rh 0.000 0.196 0.568 (multiplicity 8)
6 Rh 0.000 0.457 0.146 (multiplicity 8)


Entry 3:
The following is a PBE-GGA calculation of a relaxed BaLi2Co crystal, from the Alexandria database.

## Properties
Calculated formation energy in eV/atom: 0.5120
Energy above the most stable polymorph in this dataset in eV per formula unit: 0.627

abc: 4.406 4.406 20.616
angles: 90.00 90.00 90.00
Space group I-42d (No. 122)
One atom of each set of equivalent atoms:
1 Ba 0.000 0.000 0.000 (multiplicity 4)
2 Li 0.150 0.250 0.625 (multiplicity 8)
3 Co 0.000 0.000 0.500 (multiplicity 4)


- Which formula does entry 1 have?
  AcY3Tm2